[1]
PuZnSnHg: relaxed, GGA-PBE.

Calculated values
ΔH_f (0 K) in meV per atom: -93

Unit cell a=5.119 b=5.119 c=5.119 alpha=60.00 beta=60.00 gamma=60.00
Last column: magnetic moment on the atom in μB.
Atoms (fractional coordinates):
Pu 0.000 0.000 0.000  5.46
Zn 0.500 0.500 0.500  0.00
Sn 0.250 0.250 0.250  0.03
Hg 0.750 0.750 0.750  0.02

---

[2]
PuZrSnHg: relaxed, GGA-PBE.

Calculated values
ΔH_f (0 K) in meV per atom: -181

Unit cell a=5.176 b=5.176 c=5.176 alpha=60.00 beta=60.00 gamma=60.00
Last column: magnetic moment on the atom in μB.
Atoms (fractional coordinates):
Sn 0.250 0.250 0.250  -0.03
Pu 0.000 0.000 0.000  5.44
Zr 0.500 0.500 0.500  0.60
Hg 0.750 0.750 0.750  0.03